Record 1
# InHgBr2

A relaxed structure of InHgBr2 (GGA-PBEsol, Alexandria via LeMat-Bulk).

Cell: 8.617 8.617 8.617 Å, 26.73 26.73 26.73°
Element x y z (fractional)
1 In 0.000 0.000 0.000
2 Hg 0.260 0.260 0.260
3 Br 0.525 0.525 0.525
4 Br 0.737 0.737 0.737

## Properties
- total magnetization (μB per cell) = 0.0
- energy relative to the elements, uncorrected (meV per atom) = -454
- SG = R3m
- N(E_F) (states/eV/cell) = 1.0
- relative energy among the computed polymorphs (eV/f.u.) = 0.00

***

Record 2
# Zr3Te

A relaxed structure of Zr3Te (GGA-PBEsol, Alexandria via LeMat-Bulk).

Cell: 5.672 5.672 5.672 Å, 143.06 67.04 126.21°
Element x y z (fractional)
1 Zr 0.000 0.000 0.000
2 Zr 0.137 0.378 0.759
3 Zr 0.619 0.378 0.241
4 Te 0.522 0.022 0.500

## Properties
- total magnetization (μB per cell) = 0.0
- energy relative to the elements, uncorrected (meV per atom) = -406
- SG = Imm2
- N(E_F) (states/eV/cell) = 2.5

***

Record 3
# K2SrZn

A relaxed structure of K2SrZn (GGA-PBEsol, Alexandria via LeMat-Bulk).

Cell: 6.200 6.200 6.200 Å, 60.00 60.00 60.00°
Element x y z (fractional)
1 K 0.000 0.000 0.000
2 K 0.250 0.250 0.250
3 Sr 0.750 0.750 0.750
4 Zn 0.500 0.500 0.500

## Properties
- electronic total energy (eV/cell) = -4.6
- total magnetization (μB per cell) = 0.0
- SG = F-43m
- N(E_F) (states/eV/cell) = 4.2